Entry 1:
Entry from Alexandria via LeMat-Bulk: SrZrRu2 after structural relaxation (PBE).

Structure (CIF):
```
data_SrZrRu2
_space_group_name_H-M_alt 'A m m 2'
_space_group_IT_number 38
_cell_length_a 4.305
_cell_length_b 4.038
_cell_length_c 11.368
_cell_angle_alpha 90.00
_cell_angle_beta 90.00
_cell_angle_gamma 90.00
loop_
_space_group_symop_operation_xyz
'x,y,z'
'-x,-y,z'
'-x,y,z'
'x,-y,z'
'x,y+1/2,z+1/2'
'-x,-y+1/2,z+1/2'
'-x,y+1/2,z+1/2'
'x,-y+1/2,z+1/2'
loop_
_atom_site_label
_atom_site_type_symbol
_atom_site_fract_x
_atom_site_fract_y
_atom_site_fract_z
_atom_site_occupancy
Sr1 Sr 0.000 0.000 0.000 1
Zr1 Zr 0.500 0.000 0.718 1
Ru1 Ru 0.000 0.000 0.277 1
Ru2 Ru 0.500 0.000 0.367 1
```

Formation energy = 0.194 eV/atom
E = -7.00 eV per atom

Entry 2:
Entry from Alexandria via LeMat-Bulk: BaCo2SiSn after structural relaxation (PBE).

Structure (CIF):
```
data_BaCo2SiSn
_space_group_name_H-M_alt 'P 4/m m m'
_space_group_IT_number 123
_space_group_name_Hall '-P 4 2'
_cell_length_a 4.919
_cell_length_b 4.919
_cell_length_c 5.293
_cell_angle_alpha 90.00
_cell_angle_beta 90.00
_cell_angle_gamma 90.00
loop_
_atom_site_label
_atom_site_type_symbol
_atom_site_fract_x
_atom_site_fract_y
_atom_site_fract_z
_atom_site_occupancy
Ba1 Ba 0.000 0.000 0.000 1
Co1 Co 0.000 0.500 0.500 1
Si1 Si 0.500 0.500 0.000 1
Sn1 Sn 0.500 0.500 0.500 1
```

Formation energy (no corrections) = 702 meV/atom
E = -4.41 eV per atom